(1)
A geometry-optimized VSi2Ir2 structure. Source: Alexandria, functional PBE.

The calculation puts the formation energy without anion corrections at -0.4547 eV/atom. For the electronic total energy, the calculation gives -7.9920 eV per atom.

Cell: 7.0819 7.0819 2.7408 Å, 90.00 90.00 90.00°
Space group P4/mbm (No. 127)
Inequivalent atoms, fractional coordinates:
1 V 0.0000 0.0000 0.0000 [2 per cell]
2 Si 0.1496 0.3504 0.0000 [4 per cell]
3 Ir 0.1501 0.6501 0.5000 [4 per cell]

---

(2)
A geometry-optimized Sb3Cl structure. Source: Alexandria, functional PBE.

Its relative energy among the computed polymorphs is 114 meV per atom. The calculation puts the formation energy without anion corrections at 0.0582 eV/atom. For the electronic total energy, the calculation gives -3.4952 eV per atom.

Cell: 3.8178 4.7661 12.0652 Å, 90.00 90.00 90.00°
Space group Immm (No. 71)
Inequivalent atoms, fractional coordinates:
1 Sb 0.0000 0.0000 0.0000 [2 per cell]
2 Sb 0.0000 0.5000 0.2900 [4 per cell]
3 Cl 0.0000 0.0000 0.5000 [2 per cell]

---

| no. | Fermi-level density of states (states/eV per cell) | density (g/cm³) |
| --- | --- | --- |
| 1 | 6.242 | 11.88 |
| 2 | 4.328 | 6.06 |